DFT (GGA-PBE) results for crystalline CaTe2Os at its relaxed geometry.

Geometry as CIF:
```
data_CaTe2Os
_cell_length_a 8.3080
_cell_length_b 8.3080
_cell_length_c 6.7013
_cell_angle_alpha 51.69
_cell_angle_beta 51.69
_cell_angle_gamma 90.00
_symmetry_space_group_name_H-M 'P 1'
_symmetry_Int_Tables_number 1
loop_
_symmetry_equiv_pos_as_xyz
'x,y,z'
loop_
_atom_site_label
_atom_site_type_symbol
_atom_site_fract_x
_atom_site_fract_y
_atom_site_fract_z
Os1 Os 0.0000 0.0000 0.0000
Te1 Te 0.3750 0.2796 0.7500
Ca1 Ca 0.5000 0.5000 0.0000
Te2 Te 0.8750 0.9704 0.7500
Te3 Te 0.7204 0.1250 0.2500
Te4 Te 0.0296 0.6250 0.2500
Os2 Os 0.7500 0.2500 0.5000
Ca2 Ca 0.2500 0.7500 0.5000
```

Results
The density of states at the Fermi level is 0.1 states/eV/cell. The value obtained for the raw formation energy is -0.9 eV per formula unit. The energy relative to the lowest polymorph listed for this composition is 14.3 kJ per mole of atoms.

---

DFT (GGA-PBE) results for crystalline Y3CoOs at its relaxed geometry.

Geometry as CIF:
```
data_Y3CoOs
_cell_length_a 4.9715
_cell_length_b 4.9715
_cell_length_c 4.9715
_cell_angle_alpha 90.00
_cell_angle_beta 90.00
_cell_angle_gamma 90.00
_symmetry_space_group_name_H-M 'P 1'
_symmetry_Int_Tables_number 1
loop_
_symmetry_equiv_pos_as_xyz
'x,y,z'
loop_
_atom_site_label
_atom_site_type_symbol
_atom_site_fract_x
_atom_site_fract_y
_atom_site_fract_z
Os1 Os 0.5000 0.5000 0.5000
Y1 Y 0.0000 0.5000 0.0000
Y2 Y 0.0000 0.0000 0.5000
Co1 Co 0.0000 0.0000 0.0000
Y3 Y 0.5000 0.0000 0.0000
```

Results
The density of states at the Fermi level is 5.4 states/eV/cell. The energy relative to the lowest polymorph listed for this composition is 0.0 kJ per mole of atoms.

---

DFT (GGA-PBE) results for crystalline HgPt2Br at its relaxed geometry.

Geometry as CIF:
```
data_HgPt2Br
_cell_length_a 4.7380
_cell_length_b 4.7380
_cell_length_c 4.7380
_cell_angle_alpha 60.00
_cell_angle_beta 60.00
_cell_angle_gamma 60.00
_symmetry_space_group_name_H-M 'P 1'
_symmetry_Int_Tables_number 1
loop_
_symmetry_equiv_pos_as_xyz
'x,y,z'
loop_
_atom_site_label
_atom_site_type_symbol
_atom_site_fract_x
_atom_site_fract_y
_atom_site_fract_z
Br1 Br 0.0000 0.0000 0.0000
Hg1 Hg 0.5000 0.5000 0.5000
Pt1 Pt 0.2500 0.2500 0.2500
Pt2 Pt 0.7500 0.7500 0.7500
```

Results
The density of states at the Fermi level is 5.9 states/eV/cell. The value obtained for the raw formation energy is 2.2 eV per formula unit. The energy relative to the lowest polymorph listed for this composition is 40.1 kJ per mole of atoms.

---

DFT (GGA-PBE) results for crystalline TlIn2Sb at its relaxed geometry.

Geometry as CIF:
```
data_TlIn2Sb
_cell_length_a 5.4906
_cell_length_b 5.4906
_cell_length_c 5.4906
_cell_angle_alpha 60.00
_cell_angle_beta 60.00
_cell_angle_gamma 60.00
_symmetry_space_group_name_H-M 'P 1'
_symmetry_Int_Tables_number 1
loop_
_symmetry_equiv_pos_as_xyz
'x,y,z'
loop_
_atom_site_label
_atom_site_type_symbol
_atom_site_fract_x
_atom_site_fract_y
_atom_site_fract_z
In1 In 0.2500 0.2500 0.2500
Sb1 Sb 0.5000 0.5000 0.5000
Tl1 Tl 0.7500 0.7500 0.7500
In2 In 0.0000 0.0000 0.0000
```

Results
The density of states at the Fermi level is 3.3 states/eV/cell. The value obtained for the raw formation energy is 0.3 eV per formula unit. The energy relative to the lowest polymorph listed for this composition is 5.9 kJ per mole of atoms.

---

DFT (GGA-PBE) results for crystalline PtAu3 at its relaxed geometry.

Geometry as CIF:
```
data_PtAu3
_cell_length_a 5.7728
_cell_length_b 4.8625
_cell_length_c 4.9761
_cell_angle_alpha 90.00
_cell_angle_beta 90.00
_cell_angle_gamma 90.00
_symmetry_space_group_name_H-M 'P 1'
_symmetry_Int_Tables_number 1
loop_
_symmetry_equiv_pos_as_xyz
'x,y,z'
loop_
_atom_site_label
_atom_site_type_symbol
_atom_site_fract_x
_atom_site_fract_y
_atom_site_fract_z
Au1 Au 0.7500 0.0000 0.1698
Au2 Au 0.5000 0.0000 0.6629
Pt1 Pt 0.0000 0.0000 0.6728
Pt2 Pt 0.5000 0.5000 0.3272
Au3 Au 0.2500 0.0000 0.1698
Au4 Au 0.7500 0.5000 0.8302
Au5 Au 0.2500 0.5000 0.8302
Au6 Au 0.0000 0.5000 0.3371
```

Results
The density of states at the Fermi level is 2.1 states/eV/cell. The calculation puts the final energy at -3.92 eV/atom.

---

DFT (GGA-PBE) results for crystalline KSr2RhO6 at its relaxed geometry.

Geometry as CIF:
```
data_KSr2RhO6
_cell_length_a 5.8776
_cell_length_b 6.3558
_cell_length_c 8.4554
_cell_angle_alpha 90.00
_cell_angle_beta 88.58
_cell_angle_gamma 90.00
_symmetry_space_group_name_H-M 'P 1'
_symmetry_Int_Tables_number 1
loop_
_symmetry_equiv_pos_as_xyz
'x,y,z'
loop_
_atom_site_label
_atom_site_type_symbol
_atom_site_fract_x
_atom_site_fract_y
_atom_site_fract_z
O1 O 0.1273 0.4236 0.7923
K1 K 0.0000 0.5000 0.5000
Sr1 Sr 0.0219 0.9378 0.2631
O2 O 0.8537 0.7515 0.9106
Sr2 Sr 0.4781 0.4378 0.2369
O3 O 0.2707 0.6607 0.0431
Sr3 Sr 0.5219 0.5622 0.7631
O4 O 0.3727 0.9236 0.7077
O5 O 0.3537 0.7485 0.4106
Sr4 Sr 0.9781 0.0622 0.7369
O6 O 0.7293 0.3393 0.9569
O7 O 0.6273 0.0764 0.2923
K2 K 0.5000 0.0000 0.0000
O8 O 0.1463 0.2485 0.0894
O9 O 0.8727 0.5764 0.2077
O10 O 0.6463 0.2515 0.5894
Rh1 Rh 0.0000 0.5000 0.0000
Rh2 Rh 0.5000 0.0000 0.5000
O11 O 0.2293 0.1607 0.4569
O12 O 0.7707 0.8393 0.5431
```

Results
The density of states at the Fermi level is 15.9 states/eV/cell. The value obtained for the raw formation energy is -15.3 eV per formula unit.